Material: KAl2Au5
Method: DFT, PBE
State: relaxed

a b c (Å): 4.291 6.914 6.914
angles (deg): 62.59 71.92 71.92
Sites, in units of the cell vectors:
Au1 0.000 0.500 0.500
Au2 0.648 0.154 0.550
Au3 0.352 0.450 0.846
Au4 0.648 0.550 0.154
Au5 0.352 0.846 0.450
Al1 0.766 0.734 0.734
Al2 0.234 0.266 0.266
K1 0.000 0.000 0.000

* Fermi-level density of states: 0.343 states/eV/atom
* crystal system: orthorhombic
* DFT formation energy: -2.344 eV/f.u.